The following is a DFT calculation (PBE-GGA) of a relaxed structure of Nd2Al2IBr.

a = 4.3444 Å, b = 4.3444 Å, c = 12.1941 Å
α = 90.00°, β = 90.00°, γ = 120.00°
With the nearest neighbours (Å) after each atom.
Element x y z (fractional)
Nd 0.0000 0.0000 0.0000  3 Br 3.07, 6 Al 3.20-3.43
Nd 0.0000 0.0000 0.3525  6 Al 3.19-3.41, 3 I 3.23
Al 0.3333 0.6667 0.1915  3 Al 2.53
Al 0.6667 0.3333 0.1625  3 Al 2.53
I 0.6667 0.3333 0.5198  3 Nd 3.23
Br 0.3333 0.6667 0.8554  3 Nd 3.07

Values from the calculation:
Magnetic moment   0.00 μB per formula unit
Calculated total energy   -4.402 eV/atom
Calculated volume   199.3 Å³ per cell
Space-group type   P3m1 (156)

---

The following is a DFT calculation (PBE-GGA) of a relaxed structure of ZnCd2As.

a = 4.8766 Å, b = 4.8766 Å, c = 4.8766 Å
α = 60.00°, β = 60.00°, γ = 60.00°
With the nearest neighbours (Å) after each atom.
Element x y z (fractional)
Zn 0.0000 0.0000 0.0000  4 Cd 2.99, 4 As 2.99
Cd 0.2500 0.2500 0.2500  4 Cd 2.99, 4 Zn 2.99
Cd 0.5000 0.5000 0.5000  4 As 2.99, 4 Cd 2.99
As 0.7500 0.7500 0.7500  4 Cd 2.99, 4 Zn 2.99

Values from the calculation:
Calculated total energy   -1.742 eV/atom
Calculated volume   82.0 Å³ per cell
Space-group type   F-43m (216)

---

The following is a DFT calculation (PBE-GGA) of a relaxed structure of PrMgGa.

a = 7.5008 Å, b = 7.5008 Å, c = 4.5648 Å
α = 90.00°, β = 90.00°, γ = 120.00°
With the nearest neighbours (Å) after each atom.
Element x y z (fractional)
Pr 0.0000 0.5767 0.0000  5 Ga 3.17-3.20, 2 Mg 3.39
Pr 0.4233 0.4233 0.0000  5 Ga 3.17-3.20, 2 Mg 3.39
Pr 0.5767 0.0000 0.0000  5 Ga 3.17-3.20, 2 Mg 3.39
Mg 0.0000 0.2420 0.5000  4 Ga 2.90-2.92, 2 Mg 3.14
Mg 0.2420 0.0000 0.5000  4 Ga 2.90-2.92, 2 Mg 3.14
Mg 0.7580 0.7580 0.5000  4 Ga 2.90-2.92, 2 Mg 3.14
Ga 0.0000 0.0000 0.0000  6 Mg 2.92, 3 Pr 3.17
Ga 0.3333 0.6667 0.5000  3 Mg 2.90, 6 Pr 3.20
Ga 0.6667 0.3333 0.5000  3 Mg 2.90, 6 Pr 3.20

Values from the calculation:
Magnetic moment   0.00 μB per formula unit
Calculated volume   222.4 Å³ per cell
Excess energy over the best structure of this formula in the dataset   0 meV per atom
Space-group type   P-62m (189)

---

The following is a DFT calculation (PBE-GGA) of a relaxed structure of Cs3UBr6.

a = 8.5480 Å, b = 8.5480 Å, c = 8.9079 Å
α = 117.78°, β = 117.78°, γ = 60.87°
With the nearest neighbours (Å) after each atom.
Element x y z (fractional)
Cs 0.0000 0.0000 0.0000  6 Br 3.55-3.63
Cs 0.2431 0.2431 0.7225  5 Br 3.68-3.75
Cs 0.7569 0.7569 0.2775  5 Br 3.68-3.75
U 0.5000 0.5000 0.5000  6 Br 2.92-2.93
Br 0.1933 0.6655 0.6489  1 U 2.92
Br 0.2859 0.2859 0.1701  1 U 2.93
Br 0.3345 0.8067 0.3511  1 U 2.92
Br 0.6655 0.1933 0.6489  1 U 2.92
Br 0.7141 0.7141 0.8299  1 U 2.93
Br 0.8067 0.3345 0.3511  1 U 2.92

Values from the calculation:
Magnetic moment   3.00 μB per formula unit
Calculated total energy   -4.003 eV/atom
Calculated volume   478.4 Å³ per cell
Space-group type   C2/m (12)

---

The following is a DFT calculation (PBE-GGA) of a relaxed structure of Ho2Os.

a = 8.2810 Å, b = 8.2810 Å, c = 8.2810 Å
α = 60.00°, β = 60.00°, γ = 60.00°
With the nearest neighbours (Å) after each atom.
Element x y z (fractional)
Ho 0.0000 0.0000 0.0000  2 Os 2.54
Ho 0.0000 0.0000 0.5000  2 Os 2.54
Ho 0.0000 0.5000 0.0000  2 Os 2.54
Ho 0.5000 0.0000 0.0000  2 Os 2.54
Os 0.1250 0.1250 0.1250  4 Ho 2.54
Os 0.8750 0.8750 0.8750  4 Ho 2.54

Values from the calculation:
Calculated formation energy   113.1 kJ/mol of atoms
Magnetic moment   0.01 μB per formula unit
Calculated volume   401.5 Å³ per cell
Space-group type   Fd-3m (227)

---

The following is a DFT calculation (PBE-GGA) of a relaxed structure of Dy4Al4O11.

a = 5.1728 Å, b = 7.3347 Å, c = 5.3267 Å
α = 90.00°, β = 90.14°, γ = 90.00°
With the nearest neighbours (Å) after each atom.
Element x y z (fractional)
Dy 0.0000 0.0000 0.0000  6 O 2.25-2.47
Dy 0.0196 0.5000 0.1036  7 O 2.28-2.55
Dy 0.5007 0.5000 0.6089  5 O 2.25-2.45
Dy 0.5215 0.0000 0.4981  6 O 2.25-2.48
Al 0.0116 0.2512 0.5523  6 O 1.88-1.92
Al 0.0116 0.7488 0.5523  6 O 1.88-1.92
Al 0.5112 0.2553 0.0538  5 O 1.90-1.93
Al 0.5112 0.7447 0.0538  5 O 1.90-1.93
O 0.0929 0.0000 0.5738  2 Al 1.89
O 0.2176 0.2950 0.8456  2 Al 1.90-1.92
O 0.2176 0.7050 0.8456  2 Al 1.90-1.92
O 0.3050 0.2934 0.3469  2 Al 1.90-1.91
O 0.3050 0.7066 0.3469  2 Al 1.90-1.91
O 0.4288 0.0000 0.0730  2 Al 1.92
O 0.7176 0.2089 0.7592  2 Al 1.91-1.93
O 0.7176 0.7911 0.7592  2 Al 1.91-1.93
O 0.8060 0.2081 0.2577  2 Al 1.90-1.92
O 0.8060 0.7919 0.2577  2 Al 1.90-1.92
O 0.9274 0.5000 0.5311  2 Al 1.88

Values from the calculation:
Magnetic moment   0.00 μB per formula unit
Calculated total energy   -7.787 eV/atom
Calculated volume   202.1 Å³ per cell
Space-group type   Pm (6)

---

The following is a DFT calculation (PBE-GGA) of a relaxed structure of HfCuOs.

a = 4.1833 Å, b = 4.1833 Å, c = 4.1833 Å
α = 60.00°, β = 60.00°, γ = 60.00°
With the nearest neighbours (Å) after each atom.
Element x y z (fractional)
Hf 0.0000 0.0000 0.0000  4 Cu 2.56
Cu 0.2500 0.2500 0.2500  4 Hf 2.56, 4 Os 2.56
Os 0.5000 0.5000 0.5000  4 Cu 2.56

Values from the calculation:
Calculated formation energy   25.1 kJ/mol of atoms
Magnetic moment   0.00 μB per formula unit
Calculated volume   51.8 Å³ per cell
Excess energy over the best structure of this formula in the dataset   0 meV per atom
Space-group type   F-43m (216)

---

The following is a DFT calculation (PBE-GGA) of a relaxed structure of HoReAsO.

a = 4.1314 Å, b = 6.1307 Å, c = 5.5997 Å
α = 90.00°, β = 90.00°, γ = 90.00°
With the nearest neighbours (Å) after each atom.
Element x y z (fractional)
Ho 0.0000 0.1819 0.0000  2 O 2.13
Ho 0.0000 0.8181 0.5000  2 O 2.13
Re 0.5000 0.4671 0.7696  2 O 2.10-2.13
Re 0.5000 0.5329 0.2696  2 O 2.10-2.13
As 0.0000 0.3127 0.5123  4 Re 2.69-2.82, 2 Ho 2.85-2.98
As 0.0000 0.6873 0.0123  4 Re 2.69-2.82, 2 Ho 2.85-2.98
O 0.5000 0.2464 0.0641  2 Re 2.10-2.13, 2 Ho 2.13
O 0.5000 0.7536 0.5641  2 Re 2.10-2.13, 2 Ho 2.13

Values from the calculation:
Magnetic moment   0.16 μB per formula unit
Calculated volume   141.8 Å³ per cell
Excess energy over the best structure of this formula in the dataset   573 meV per atom
Space-group type   Pmc2_1 (26)